Record 1
Computed, not measured: a relaxed structure of Ba2PbAu2 at the PBE-GGA level of DFT.

Properties
Space-group type: I4/mmm, No. 139
Crystal system: tetragonal
Total DFT energy (no corrections) (eV per atom): -3.36

a = 6.2873 Å, b = 6.2873 Å, c = 6.2873 Å
α = 118.50°, β = 118.50°, γ = 92.61°
Closest atoms and distances in Å follow each position.
Sites, in units of the cell vectors:
Ba: 0.2500 0.7500 0.5000  4 Au 3.32
Ba: 0.7500 0.2500 0.5000  4 Au 3.32
Pb: 0.0000 0.0000 0.0000  2 Au 3.00
Au: 0.3456 0.3456 0.0000  1 Au 2.68, 1 Pb 3.00
Au: 0.6544 0.6544 0.0000  1 Au 2.68, 1 Pb 3.00


Record 2
Computed, not measured: a relaxed structure of Ba12Pb3Au5 at the PBE-GGA level of DFT.

Properties
Space-group type: Ia-3d, No. 230
Crystal system: cubic
Total DFT energy (no corrections) (eV per atom): -2.97

a = 17.2717 Å, b = 17.2717 Å, c = 17.2717 Å
α = 109.47°, β = 109.47°, γ = 109.47°
Closest atoms and distances in Å follow each position.
Sites, in units of the cell vectors:
Ba: 0.0443 0.2182 0.1279  2 Au 3.14-3.33
Ba: 0.0443 0.3260 0.9164  2 Au 3.14-3.33
Ba: 0.0836 0.6279 0.4097  2 Au 3.14-3.33
Ba: 0.0836 0.9557 0.6740  2 Au 3.14-3.33
Ba: 0.0903 0.7182 0.6740  2 Au 3.14-3.33
Ba: 0.0903 0.8721 0.4164  2 Au 3.14-3.33
Ba: 0.1279 0.0443 0.2182  2 Au 3.14-3.33
Ba: 0.1279 0.5836 0.9097  2 Au 3.14-3.33
Ba: 0.1740 0.2182 0.5903  2 Au 3.14-3.33
Ba: 0.1740 0.4557 0.5836  2 Au 3.14-3.33
Ba: 0.2182 0.1279 0.0443  2 Au 3.14-3.33
Ba: 0.2182 0.5903 0.1740  2 Au 3.14-3.33
Ba: 0.2818 0.3260 0.9097  2 Au 3.14-3.33
Ba: 0.2818 0.4557 0.3721  2 Au 3.14-3.33
Ba: 0.3260 0.9097 0.2818  2 Au 3.14-3.33
Ba: 0.3260 0.9164 0.0443  2 Au 3.14-3.33
Ba: 0.3721 0.2818 0.4557  2 Au 3.14-3.33
Ba: 0.3721 0.5903 0.9164  2 Au 3.14-3.33
Ba: 0.4097 0.0836 0.6279  2 Au 3.14-3.33
Ba: 0.4097 0.8260 0.7818  2 Au 3.14-3.33
Ba: 0.4164 0.0903 0.8721  2 Au 3.14-3.33
Ba: 0.4164 0.8260 0.5443  2 Au 3.14-3.33
Ba: 0.4557 0.3721 0.2818  2 Au 3.14-3.33
Ba: 0.4557 0.5836 0.1740  2 Au 3.14-3.33
Ba: 0.5443 0.4164 0.8260  2 Au 3.14-3.33
Ba: 0.5443 0.6279 0.7182  2 Au 3.14-3.33
Ba: 0.5836 0.1740 0.4557  2 Au 3.14-3.33
Ba: 0.5836 0.9097 0.1279  2 Au 3.14-3.33
Ba: 0.5903 0.1740 0.2182  2 Au 3.14-3.33
Ba: 0.5903 0.9164 0.3721  2 Au 3.14-3.33
Ba: 0.6279 0.4097 0.0836  2 Au 3.14-3.33
Ba: 0.6279 0.7182 0.5443  2 Au 3.14-3.33
Ba: 0.6740 0.0836 0.9557  2 Au 3.14-3.33
Ba: 0.6740 0.0903 0.7182  2 Au 3.14-3.33
Ba: 0.7182 0.5443 0.6279  2 Au 3.14-3.33
Ba: 0.7182 0.6740 0.0903  2 Au 3.14-3.33
Ba: 0.7818 0.4097 0.8260  2 Au 3.14-3.33
Ba: 0.7818 0.8721 0.9557  2 Au 3.14-3.33
Ba: 0.8260 0.5443 0.4164  2 Au 3.14-3.33
Ba: 0.8260 0.7818 0.4097  2 Au 3.14-3.33
Ba: 0.8721 0.4164 0.0903  2 Au 3.14-3.33
Ba: 0.8721 0.9557 0.7818  2 Au 3.14-3.33
Ba: 0.9097 0.1279 0.5836  2 Au 3.14-3.33
Ba: 0.9097 0.2818 0.3260  2 Au 3.14-3.33
Ba: 0.9164 0.0443 0.3260  2 Au 3.14-3.33
Ba: 0.9164 0.3721 0.5903  2 Au 3.14-3.33
Ba: 0.9557 0.6740 0.0836  2 Au 3.14-3.33
Ba: 0.9557 0.7818 0.8721  2 Au 3.14-3.33
Pb: 0.1250 0.2500 0.3750  8 Ba 3.71-3.80
Pb: 0.1250 0.3750 0.7500  8 Ba 3.71-3.80
Pb: 0.2500 0.3750 0.1250  8 Ba 3.71-3.80
Pb: 0.2500 0.8750 0.6250  8 Ba 3.71-3.80
Pb: 0.3750 0.1250 0.2500  8 Ba 3.71-3.80
Pb: 0.3750 0.7500 0.1250  8 Ba 3.71-3.80
Pb: 0.6250 0.2500 0.8750  8 Ba 3.71-3.80
Pb: 0.6250 0.8750 0.7500  8 Ba 3.71-3.80
Pb: 0.7500 0.1250 0.3750  8 Ba 3.71-3.80
Pb: 0.7500 0.6250 0.8750  8 Ba 3.71-3.80
Pb: 0.8750 0.6250 0.2500  8 Ba 3.71-3.80
Pb: 0.8750 0.7500 0.6250  8 Ba 3.71-3.80
Au: 0.0000 0.0000 0.0000  6 Ba 3.33
Au: 0.0000 0.0000 0.5000  6 Ba 3.33
Au: 0.0000 0.5000 0.0000  6 Ba 3.33
Au: 0.0000 0.5000 0.5000  6 Ba 3.33
Au: 0.1250 0.7500 0.8750  4 Ba 3.14
Au: 0.1250 0.8750 0.2500  4 Ba 3.14
Au: 0.2500 0.1250 0.8750  4 Ba 3.14
Au: 0.2500 0.6250 0.3750  4 Ba 3.14
Au: 0.3750 0.2500 0.6250  4 Ba 3.14
Au: 0.3750 0.6250 0.7500  4 Ba 3.14
Au: 0.5000 0.0000 0.0000  6 Ba 3.33
Au: 0.5000 0.0000 0.5000  6 Ba 3.33
Au: 0.5000 0.5000 0.0000  6 Ba 3.33
Au: 0.5000 0.5000 0.5000  6 Ba 3.33
Au: 0.6250 0.3750 0.2500  4 Ba 3.14
Au: 0.6250 0.7500 0.3750  4 Ba 3.14
Au: 0.7500 0.3750 0.6250  4 Ba 3.14
Au: 0.7500 0.8750 0.1250  4 Ba 3.14
Au: 0.8750 0.1250 0.7500  4 Ba 3.14
Au: 0.8750 0.2500 0.1250  4 Ba 3.14


Record 3
Computed, not measured: a relaxed structure of BaPb4Au at the PBE-GGA level of DFT.

Properties
Space-group type: P-1, No. 2
Offset from the most stable computed form (eV/atom): 0.000
Crystal system: triclinic

a = 4.2867 Å, b = 4.3240 Å, c = 10.4178 Å
α = 86.64°, β = 89.32°, γ = 88.70°
Closest atoms and distances in Å follow each position.
Sites, in units of the cell vectors:
Ba: 0.0000 0.0000 0.0000  10 Pb 3.71-3.94
Pb: 0.0204 0.0838 0.6432  2 Au 3.08-3.17, 5 Pb 3.12-3.41
Pb: 0.4848 0.4396 0.2205  1 Au 2.94
Pb: 0.5152 0.5604 0.7795  1 Au 2.94
Pb: 0.9796 0.9162 0.3568  2 Au 3.08-3.17, 5 Pb 3.12-3.41
Au: 0.5000 0.5000 0.5000  6 Pb 2.94-3.17


Record 4
Computed, not measured: a relaxed structure of Ba2Pb2Au15 at the PBE-GGA level of DFT.

Properties
Space-group type: R-3m, No. 166
Crystal system: trigonal
Total DFT energy (no corrections) (eV per atom): -3.44

a = 7.5252 Å, b = 7.5252 Å, c = 7.5252 Å
α = 84.20°, β = 84.20°, γ = 84.20°
Closest atoms and distances in Å follow each position.
Sites, in units of the cell vectors:
Ba: 0.1518 0.1518 0.1518  15 Au 3.46-3.86, 1 Pb 3.53
Ba: 0.8482 0.8482 0.8482  15 Au 3.46-3.86, 1 Pb 3.53
Pb: 0.3989 0.3989 0.3989  1 Pb 2.89, 6 Au 3.06-3.17
Pb: 0.6011 0.6011 0.6011  1 Pb 2.89, 6 Au 3.06-3.17
Au: 0.0000 0.5000 0.5000  8 Au 2.87-2.95, 2 Pb 3.06
Au: 0.1534 0.1534 0.6650  8 Au 2.86-2.99, 1 Pb 3.17
Au: 0.1534 0.6650 0.1534  8 Au 2.86-2.99, 1 Pb 3.17
Au: 0.1835 0.5000 0.8165  8 Au 2.87-3.19
Au: 0.1835 0.8165 0.5000  8 Au 2.87-3.19
Au: 0.3350 0.8466 0.8466  8 Au 2.86-2.99, 1 Pb 3.17
Au: 0.5000 0.0000 0.5000  8 Au 2.87-2.95, 2 Pb 3.06
Au: 0.5000 0.1835 0.8165  8 Au 2.87-3.19
Au: 0.5000 0.5000 0.0000  8 Au 2.87-2.95, 2 Pb 3.06
Au: 0.5000 0.8165 0.1835  8 Au 2.87-3.19
Au: 0.6650 0.1534 0.1534  8 Au 2.86-2.99, 1 Pb 3.17
Au: 0.8165 0.1835 0.5000  8 Au 2.87-3.19
Au: 0.8165 0.5000 0.1835  8 Au 2.87-3.19
Au: 0.8466 0.3350 0.8466  8 Au 2.86-2.99, 1 Pb 3.17
Au: 0.8466 0.8466 0.3350  8 Au 2.86-2.99, 1 Pb 3.17


Record 5
Computed, not measured: a relaxed structure of Ba6PbAu3 at the PBE-GGA level of DFT.

Properties
Space-group type: P2_1/m, No. 11
Crystal system: monoclinic
Total DFT energy (no corrections) (eV per atom): -3.07

a = 13.4973 Å, b = 4.9710 Å, c = 13.9710 Å
α = 90.00°, β = 109.45°, γ = 90.00°
Closest atoms and distances in Å follow each position.
Sites, in units of the cell vectors:
Ba: 0.0272 0.2500 0.3900  4 Au 3.31-3.62
Ba: 0.1056 0.2500 0.9432  4 Au 3.30-3.36
Ba: 0.2313 0.7500 0.2726  3 Au 3.39-3.51, 2 Pb 3.73
Ba: 0.3042 0.7500 0.7595  3 Au 3.30-3.38
Ba: 0.3827 0.2500 0.5411  2 Au 3.56, 3 Pb 3.64-3.78
Ba: 0.4215 0.7500 0.0969  3 Au 3.29-3.38, 2 Pb 3.67
Ba: 0.5785 0.2500 0.9031  3 Au 3.29-3.38, 2 Pb 3.67
Ba: 0.6173 0.7500 0.4589  2 Au 3.56, 3 Pb 3.64-3.78
Ba: 0.6958 0.2500 0.2405  3 Au 3.30-3.38
Ba: 0.7687 0.2500 0.7274  3 Au 3.39-3.51, 2 Pb 3.73
Ba: 0.8944 0.7500 0.0568  4 Au 3.30-3.36
Ba: 0.9728 0.7500 0.6100  4 Au 3.31-3.62
Pb: 0.4445 0.2500 0.2965  8 Ba 3.64-3.78
Pb: 0.5555 0.7500 0.7035  8 Ba 3.64-3.78
Au: 0.0595 0.2500 0.1653  6 Ba 3.31-3.39
Au: 0.1842 0.7500 0.5048  7 Ba 3.31-3.62
Au: 0.3428 0.2500 0.9237  6 Ba 3.29-3.38
Au: 0.6572 0.7500 0.0763  6 Ba 3.29-3.38
Au: 0.8158 0.2500 0.4952  7 Ba 3.31-3.62
Au: 0.9405 0.7500 0.8347  6 Ba 3.31-3.39


Record 6
Computed, not measured: a relaxed structure of Ba3PbAu at the PBE-GGA level of DFT.

Properties
Space-group type: Pm-3m, No. 221
Offset from the most stable computed form (eV/atom): 0.144
Crystal system: cubic

a = 6.2539 Å, b = 6.2539 Å, c = 6.2539 Å
α = 90.00°, β = 90.00°, γ = 90.00°
Closest atoms and distances in Å follow each position.
Sites, in units of the cell vectors:
Ba: 0.0000 0.0000 0.5000  2 Au 3.13
Ba: 0.0000 0.5000 0.0000  2 Au 3.13
Ba: 0.5000 0.0000 0.0000  2 Au 3.13
Pb: 0.5000 0.5000 0.5000  12 Ba 4.42
Au: 0.0000 0.0000 0.0000  6 Ba 3.13


Record 7
Computed, not measured: a relaxed structure of Ba2Pb6Au3 at the PBE-GGA level of DFT.

Properties
Space-group type: P-62m, No. 189
Crystal system: hexagonal
Total DFT energy (no corrections) (eV per atom): -3.60

a = 8.9676 Å, b = 8.9676 Å, c = 5.0119 Å
α = 90.00°, β = 90.00°, γ = 120.00°
Closest atoms and distances in Å follow each position.
Sites, in units of the cell vectors:
Ba: 0.3333 0.6667 0.0000  9 Pb 3.68-4.01, 6 Au 3.76
Ba: 0.6667 0.3333 0.0000  9 Pb 3.68-4.01, 6 Au 3.76
Pb: 0.0000 0.2077 0.0000  2 Au 2.94, 2 Pb 3.23
Pb: 0.0000 0.6952 0.5000  3 Au 2.83-3.13
Pb: 0.2077 0.0000 0.0000  2 Au 2.94, 2 Pb 3.23
Pb: 0.3048 0.3048 0.5000  3 Au 2.83-3.13
Pb: 0.6952 0.0000 0.5000  3 Au 2.83-3.13
Pb: 0.7923 0.7923 0.0000  2 Au 2.94, 2 Pb 3.23
Au: 0.0000 0.3801 0.5000  5 Pb 2.83-3.13
Au: 0.3801 0.0000 0.5000  5 Pb 2.83-3.13
Au: 0.6199 0.6199 0.5000  5 Pb 2.83-3.13


Record 8
Computed, not measured: a relaxed structure of Ba2Pb3Au2 at the PBE-GGA level of DFT.

Properties
Space-group type: Cmcm, No. 63
Offset from the most stable computed form (eV/atom): 0.036
Crystal system: orthorhombic

a = 11.4644 Å, b = 11.4644 Å, c = 7.8798 Å
α = 90.00°, β = 90.00°, γ = 153.87°
Closest atoms and distances in Å follow each position.
Sites, in units of the cell vectors:
Ba: 0.0565 0.9435 0.7500  5 Pb 3.57-3.76
Ba: 0.1653 0.8347 0.2500  6 Au 3.56-3.62, 6 Pb 3.57-3.74
Ba: 0.8347 0.1653 0.7500  6 Au 3.56-3.62, 6 Pb 3.57-3.74
Ba: 0.9435 0.0565 0.2500  5 Pb 3.57-3.76
Pb: 0.2249 0.7751 0.7500  6 Au 3.09-3.11
Pb: 0.4353 0.5647 0.5608  1 Au 2.96, 2 Pb 2.98-3.05
Pb: 0.4353 0.5647 0.9392  1 Au 2.96, 2 Pb 2.98-3.05
Pb: 0.5647 0.4353 0.0608  1 Au 2.96, 2 Pb 2.98-3.05
Pb: 0.5647 0.4353 0.4392  1 Au 2.96, 2 Pb 2.98-3.05
Pb: 0.7751 0.2249 0.2500  6 Au 3.09-3.11
Au: 0.3102 0.6898 0.0622  4 Pb 2.96-3.11, 1 Au 2.96
Au: 0.3102 0.6898 0.4378  4 Pb 2.96-3.11, 1 Au 2.96
Au: 0.6898 0.3102 0.5622  4 Pb 2.96-3.11, 1 Au 2.96
Au: 0.6898 0.3102 0.9378  4 Pb 2.96-3.11, 1 Au 2.96


Record 9
Computed, not measured: a relaxed structure of BaPbAu2 at the PBE-GGA level of DFT.

Properties
Space-group type: I-42d, No. 122
Crystal system: tetragonal
Total DFT energy (no corrections) (eV per atom): -3.37

a = 10.1242 Å, b = 10.1242 Å, c = 10.1242 Å
α = 148.59°, β = 148.59°, γ = 45.02°
Closest atoms and distances in Å follow each position.
Sites, in units of the cell vectors:
Ba: 0.0000 0.0000 0.0000  4 Au 3.44
Ba: 0.7500 0.2500 0.5000  4 Au 3.44
Pb: 0.2500 0.7500 0.5000  4 Au 2.78
Pb: 0.5000 0.5000 0.0000  4 Au 2.78
Au: 0.2610 0.6250 0.1360  2 Pb 2.78, 2 Au 3.01
Au: 0.3750 0.5110 0.6360  2 Pb 2.78, 2 Au 3.01
Au: 0.4890 0.1250 0.8640  2 Pb 2.78, 2 Au 3.01
Au: 0.8750 0.7390 0.3640  2 Pb 2.78, 2 Au 3.01


Record 10
Computed, not measured: a relaxed structure of BaPb2Au at the PBE-GGA level of DFT.

Properties
Space-group type: Fm-3m, No. 225
Crystal system: cubic
Total DFT energy (no corrections) (eV per atom): -3.37

a = 5.5608 Å, b = 5.5608 Å, c = 5.5608 Å
α = 60.00°, β = 60.00°, γ = 60.00°
Closest atoms and distances in Å follow each position.
Sites, in units of the cell vectors:
Ba: 0.0000 0.0000 0.0000  8 Pb 3.41
Pb: 0.2500 0.2500 0.2500  4 Au 3.41, 4 Ba 3.41
Pb: 0.7500 0.7500 0.7500  4 Au 3.41, 4 Ba 3.41
Au: 0.5000 0.5000 0.5000  8 Pb 3.41


Record 11
Computed, not measured: a relaxed structure of BaPbAu2 at the PBE-GGA level of DFT.

Properties
Space-group type: F-43m, No. 216
Crystal system: cubic
Total DFT energy (no corrections) (eV per atom): -3.28

a = 5.3614 Å, b = 5.3614 Å, c = 5.3614 Å
α = 60.00°, β = 60.00°, γ = 60.00°
Closest atoms and distances in Å follow each position.
Sites, in units of the cell vectors:
Ba: 0.0000 0.0000 0.0000  4 Pb 3.28, 4 Au 3.28
Pb: 0.7500 0.7500 0.7500  4 Ba 3.28, 4 Au 3.28
Au: 0.2500 0.2500 0.2500  4 Ba 3.28, 4 Au 3.28
Au: 0.5000 0.5000 0.5000  4 Pb 3.28, 4 Au 3.28


Record 12
Computed, not measured: a relaxed structure of Ba2PbAu3 at the PBE-GGA level of DFT.

Properties
Space-group type: Fmmm, No. 69
Crystal system: orthorhombic
Total DFT energy (no corrections) (eV per atom): -3.51

a = 9.8459 Å, b = 9.6579 Å, c = 6.6894 Å
α = 71.46°, β = 68.44°, γ = 40.10°
Closest atoms and distances in Å follow each position.
Sites, in units of the cell vectors:
Ba: 0.2374 0.7626 0.7626  10 Au 3.53-3.72, 2 Pb 3.68
Ba: 0.2500 0.2500 0.2500  8 Au 3.64-3.66, 4 Pb 3.65
Ba: 0.7500 0.7500 0.7500  8 Au 3.64-3.66, 4 Pb 3.65
Ba: 0.7626 0.2374 0.2374  10 Au 3.53-3.72, 2 Pb 3.68
Pb: 0.3352 0.3352 0.6648  3 Au 2.87-2.90
Pb: 0.6648 0.6648 0.3352  3 Au 2.87-2.90
Au: 0.1654 0.1654 0.8346  2 Au 2.82, 1 Pb 2.90
Au: 0.1649 0.6715 0.3285  2 Au 2.79-2.82, 1 Pb 2.87
Au: 0.3285 0.8351 0.1649  2 Au 2.79-2.82, 1 Pb 2.87
Au: 0.6715 0.1649 0.8351  2 Au 2.79-2.82, 1 Pb 2.87
Au: 0.8351 0.3285 0.6715  2 Au 2.79-2.82, 1 Pb 2.87
Au: 0.8346 0.8346 0.1654  2 Au 2.82, 1 Pb 2.90


Copy entry 7 word for word.
Computed, not measured: a relaxed structure of Ba2Pb6Au3 at the PBE-GGA level of DFT.

Properties
Space-group type: P-62m, No. 189
Crystal system: hexagonal
Total DFT energy (no corrections) (eV per atom): -3.60

a = 8.9676 Å, b = 8.9676 Å, c = 5.0119 Å
α = 90.00°, β = 90.00°, γ = 120.00°
Closest atoms and distances in Å follow each position.
Sites, in units of the cell vectors:
Ba: 0.3333 0.6667 0.0000  9 Pb 3.68-4.01, 6 Au 3.76
Ba: 0.6667 0.3333 0.0000  9 Pb 3.68-4.01, 6 Au 3.76
Pb: 0.0000 0.2077 0.0000  2 Au 2.94, 2 Pb 3.23
Pb: 0.0000 0.6952 0.5000  3 Au 2.83-3.13
Pb: 0.2077 0.0000 0.0000  2 Au 2.94, 2 Pb 3.23
Pb: 0.3048 0.3048 0.5000  3 Au 2.83-3.13
Pb: 0.6952 0.0000 0.5000  3 Au 2.83-3.13
Pb: 0.7923 0.7923 0.0000  2 Au 2.94, 2 Pb 3.23
Au: 0.0000 0.3801 0.5000  5 Pb 2.83-3.13
Au: 0.3801 0.0000 0.5000  5 Pb 2.83-3.13
Au: 0.6199 0.6199 0.5000  5 Pb 2.83-3.13